#a
{"formula": "FeNi2Pt4", "functional": "PBE", "state": "optimized geometry", "lattice_angstrom": [[-3.7178, 3.7178, 3.7233], [3.7178, -3.7178, 3.7233], [3.7178, 3.7178, -3.7233]], "species": ["Fe", "Fe", "Ni", "Ni", "Ni", "Ni", "Pt", "Pt", "Pt", "Pt", "Pt", "Pt", "Pt", "Pt"], "fractional_positions": [[0.0000, 0.0000, 0.0000], [0.7500, 0.2500, 0.5000], [0.2515, 0.6250, 0.1265], [0.3750, 0.5015, 0.6265], [0.4985, 0.1250, 0.8735], [0.8750, 0.7485, 0.3735], [0.1214, 0.2112, 0.7476], [0.1238, 0.7135, 0.7524], [0.2865, 0.0388, 0.4103], [0.4635, 0.3738, 0.2524], [0.6262, 0.8786, 0.0897], [0.6286, 0.8762, 0.5897], [0.7888, 0.5365, 0.9103], [0.9612, 0.3714, 0.2476]], "dos_at_fermi_per_ev_cell": 18.6}



#b
{"formula": "FeNi2Pt4", "functional": "PBE", "state": "optimized geometry", "lattice_angstrom": [[2.6900, -4.1772, 0.0000], [2.6900, 4.1772, 0.0000], [-0.1817, 0.0000, 4.6254]], "species": ["Fe", "Ni", "Ni", "Pt", "Pt", "Pt", "Pt"], "fractional_positions": [[0.0000, 0.0000, 0.0000], [0.4133, 0.4133, 0.7365], [0.5867, 0.5867, 0.2635], [0.0000, 0.5000, 0.0000], [0.1774, 0.8226, 0.5000], [0.5000, 0.0000, 0.0000], [0.8226, 0.1774, 0.5000]], "dos_at_fermi_per_ev_cell": 9.4}



Stability verdict: #b, ahead by 35 meV/atom



#a
{"formula": "Fe2Ni5Pt2", "functional": "PBE", "state": "optimized geometry", "lattice_angstrom": [[2.6316, 0.0000, 0.0000], [-1.3031, 6.6677, 0.0000], [-0.0159, -2.8152, 6.3520]], "species": ["Fe", "Fe", "Ni", "Ni", "Ni", "Ni", "Ni", "Pt", "Pt"], "fractional_positions": [[0.0158, 0.0276, 0.3290], [0.9842, 0.9724, 0.6710], [0.1645, 0.3290, 0.9821], [0.3608, 0.7182, 0.3404], [0.5000, 0.0000, 0.0000], [0.6392, 0.2818, 0.6596], [0.8355, 0.6710, 0.0179], [0.3158, 0.6351, 0.6835], [0.6842, 0.3649, 0.3165]], "dos_at_fermi_per_ev_cell": 9.9}



#b
{"formula": "Fe2Ni5Pt2", "functional": "PBE", "state": "optimized geometry", "lattice_angstrom": [[4.8651, 0.0000, 0.0000], [0.2518, 6.9612, 0.0000], [1.8402, 1.4243, 6.6265]], "species": ["Fe", "Fe", "Fe", "Fe", "Ni", "Ni", "Ni", "Ni", "Ni", "Ni", "Ni", "Ni", "Ni", "Ni", "Pt", "Pt", "Pt", "Pt"], "fractional_positions": [[0.0067, 0.3630, 0.4279], [0.4766, 0.8363, 0.6124], [0.5234, 0.1637, 0.3876], [0.9933, 0.6370, 0.5721], [0.1168, 0.2300, 0.7381], [0.1902, 0.5469, 0.8507], [0.2276, 0.8987, 0.9430], [0.3278, 0.5612, 0.1519], [0.3964, 0.8504, 0.2657], [0.6036, 0.1496, 0.7343], [0.6722, 0.4388, 0.8481], [0.7724, 0.1013, 0.0570], [0.8098, 0.4531, 0.1493], [0.8832, 0.7700, 0.2619], [0.0000, 0.0000, 0.5000], [0.2474, 0.2066, 0.0995], [0.5000, 0.5000, 0.5000], [0.7526, 0.7934, 0.9005]], "dos_at_fermi_per_ev_cell": 23.7}



Stability verdict: #a, ahead by 45 meV/atom



#a
{"formula": "FeNi5Pt4", "functional": "PBE", "state": "optimized geometry", "lattice_angstrom": [[8.0063, 0.0000, 0.0000], [0.0000, 8.2627, 0.0000], [0.0000, 0.0000, 4.1421]], "species": ["Fe", "Fe", "Ni", "Ni", "Ni", "Ni", "Ni", "Ni", "Ni", "Ni", "Ni", "Ni", "Pt", "Pt", "Pt", "Pt", "Pt", "Pt", "Pt", "Pt"], "fractional_positions": [[0.2500, 0.2500, 0.2501], [0.7500, 0.7500, 0.7499], [0.0281, 0.5707, 0.7498], [0.0281, 0.9293, 0.7498], [0.2500, 0.7500, 0.7461], [0.4719, 0.5707, 0.7498], [0.4719, 0.9293, 0.7498], [0.5281, 0.0707, 0.2502], [0.5281, 0.4293, 0.2502], [0.7500, 0.2500, 0.2539], [0.9719, 0.0707, 0.2502], [0.9719, 0.4293, 0.2502], [0.0545, 0.2500, 0.7501], [0.2500, 0.5718, 0.2473], [0.2500, 0.9282, 0.2473], [0.4455, 0.2500, 0.7501], [0.5545, 0.7500, 0.2499], [0.7500, 0.0718, 0.7527], [0.7500, 0.4282, 0.7527], [0.9455, 0.7500, 0.2499]], "dos_at_fermi_per_ev_cell": 28.3}



#b
{"formula": "FeNi5Pt4", "functional": "PBE", "state": "optimized geometry", "lattice_angstrom": [[6.7831, -1.8840, 0.0000], [6.7831, 1.8840, 0.0000], [-1.1987, 0.0000, 5.1329]], "species": ["Fe", "Ni", "Ni", "Ni", "Ni", "Ni", "Pt", "Pt", "Pt", "Pt"], "fractional_positions": [[0.0000, 0.0000, 0.0000], [0.0000, 0.0000, 0.5000], [0.2002, 0.2002, 0.6021], [0.4025, 0.4025, 0.2001], [0.5975, 0.5975, 0.7999], [0.7998, 0.7998, 0.3979], [0.1989, 0.1989, 0.1011], [0.4038, 0.4038, 0.6893], [0.5962, 0.5962, 0.3107], [0.8011, 0.8011, 0.8989]], "dos_at_fermi_per_ev_cell": 13.0}



Stability verdict: #b, ahead by 183 meV/atom



#a
{"formula": "FeNi2Pt3", "functional": "PBE", "state": "optimized geometry", "lattice_angstrom": [[1.9348, -5.7886, 0.0000], [1.9348, 5.7886, 0.0000], [0.0000, 0.0000, 7.3357]], "species": ["Fe", "Fe", "Ni", "Ni", "Ni", "Ni", "Pt", "Pt", "Pt", "Pt", "Pt", "Pt"], "fractional_positions": [[0.1602, 0.8398, 0.0000], [0.8398, 0.1602, 0.0000], [0.1708, 0.8292, 0.5000], [0.5000, 0.5000, 0.0000], [0.5000, 0.5000, 0.5000], [0.8292, 0.1708, 0.5000], [0.0000, 0.0000, 0.2549], [0.0000, 0.0000, 0.7451], [0.3330, 0.6670, 0.2466], [0.3330, 0.6670, 0.7534], [0.6670, 0.3330, 0.2466], [0.6670, 0.3330, 0.7534]], "dos_at_fermi_per_ev_cell": 15.1}



#b
{"formula": "FeNi2Pt3", "functional": "PBE", "state": "optimized geometry", "lattice_angstrom": [[5.4294, 0.0000, 0.0000], [-2.7147, 4.7020, 0.0000], [0.0000, 0.0000, 6.4937]], "species": ["Fe", "Fe", "Ni", "Ni", "Ni", "Ni", "Pt", "Pt", "Pt", "Pt", "Pt", "Pt"], "fractional_positions": [[0.3333, 0.6667, 0.3281], [0.6667, 0.3333, 0.6719], [0.0000, 0.0000, 0.0000], [0.0000, 0.5000, 0.0000], [0.5000, 0.0000, 0.0000], [0.5000, 0.5000, 0.0000], [0.1675, 0.3350, 0.6792], [0.1675, 0.8325, 0.6792], [0.3350, 0.1675, 0.3208], [0.6650, 0.8325, 0.6792], [0.8325, 0.1675, 0.3208], [0.8325, 0.6650, 0.3208]], "dos_at_fermi_per_ev_cell": 14.3}



Stability verdict: #a, ahead by 38 meV/atom



#a
{"formula": "FeNi8Pt2", "functional": "PBE", "state": "optimized geometry", "lattice_angstrom": [[6.5201, -1.8204, 0.0000], [6.5201, 1.8204, 0.0000], [-1.5817, 0.0000, 5.5345]], "species": ["Fe", "Ni", "Ni", "Ni", "Ni", "Ni", "Ni", "Ni", "Ni", "Pt", "Pt"], "fractional_positions": [[0.0000, 0.0000, 0.0000], [0.0853, 0.0853, 0.4445], [0.1763, 0.1763, 0.9109], [0.3689, 0.3689, 0.8271], [0.4584, 0.4584, 0.2707], [0.5416, 0.5416, 0.7293], [0.6311, 0.6311, 0.1729], [0.8237, 0.8237, 0.0891], [0.9147, 0.9147, 0.5555], [0.2770, 0.2770, 0.3554], [0.7230, 0.7230, 0.6446]], "dos_at_fermi_per_ev_cell": 13.9}



#b
{"formula": "FeNi8Pt2", "functional": "PBE", "state": "optimized geometry", "lattice_angstrom": [[3.3067, -6.2736, 0.0000], [3.3067, 6.2736, 0.0000], [-2.8220, 0.0000, 3.3384]], "species": ["Fe", "Ni", "Ni", "Ni", "Ni", "Ni", "Ni", "Ni", "Ni", "Pt", "Pt"], "fractional_positions": [[0.0000, 0.0000, 0.0000], [0.1022, 0.3674, 0.7296], [0.1935, 0.8065, 0.0000], [0.3674, 0.1022, 0.7296], [0.4733, 0.4733, 0.2264], [0.5267, 0.5267, 0.7736], [0.6326, 0.8978, 0.2704], [0.8065, 0.1935, 0.0000], [0.8978, 0.6326, 0.2704], [0.3161, 0.6839, 0.5000], [0.6839, 0.3161, 0.5000]], "dos_at_fermi_per_ev_cell": 16.1}



Stability verdict: #a, ahead by 196 meV/atom



#a
{"formula": "Fe4NiPt", "functional": "PBE", "state": "optimized geometry", "lattice_angstrom": [[0.0000, 3.3295, 3.3295], [3.3295, 0.0000, 3.3295], [3.3295, 3.3295, 0.0000]], "species": ["Fe", "Fe", "Fe", "Fe", "Ni", "Pt"], "fractional_positions": [[0.3756, 0.3756, 0.3756], [0.3756, 0.3756, 0.8732], [0.3756, 0.8732, 0.3756], [0.8732, 0.3756, 0.3756], [0.7500, 0.7500, 0.7500], [0.0000, 0.0000, 0.0000]], "dos_at_fermi_per_ev_cell": 3.7}



#b
{"formula": "Fe4NiPt", "functional": "PBE", "state": "optimized geometry", "lattice_angstrom": [[2.7053, 0.0000, 0.0000], [0.0000, 3.3569, 0.0000], [0.0000, 0.0000, 8.3241]], "species": ["Fe", "Fe", "Fe", "Fe", "Ni", "Pt"], "fractional_positions": [[0.0000, 0.0000, 0.1584], [0.0000, 0.0000, 0.8416], [0.5000, 0.5000, 0.3178], [0.5000, 0.5000, 0.6822], [0.5000, 0.5000, 0.0000], [0.0000, 0.0000, 0.5000]], "dos_at_fermi_per_ev_cell": 5.1}



Stability verdict: #b, ahead by 55 meV/atom



#a
{"formula": "FeNiPtRh", "functional": "PBE", "state": "optimized geometry", "lattice_angstrom": [[0.0000, 2.9960, 2.9960], [2.9960, 0.0000, 2.9960], [2.9960, 2.9960, 0.0000]], "species": ["Fe", "Ni", "Pt", "Rh"], "fractional_positions": [[0.0000, 0.0000, 0.0000], [0.5000, 0.5000, 0.5000], [0.2500, 0.2500, 0.2500], [0.7500, 0.7500, 0.7500]], "dos_at_fermi_per_ev_cell": 4.3}



#b
{"formula": "FeNiPtRh", "functional": "PBE", "state": "optimized geometry", "lattice_angstrom": [[3.6597, 0.0000, 0.0000], [0.0000, 3.8014, 0.0000], [0.0000, 0.0000, 3.8695]], "species": ["Fe", "Ni", "Pt", "Rh"], "fractional_positions": [[0.0000, 0.0000, 0.0000], [0.0000, 0.5000, 0.5000], [0.5000, 0.0000, 0.5000], [0.5000, 0.5000, 0.0000]], "dos_at_fermi_per_ev_cell": 3.3}



Stability verdict: #b, ahead by 90 meV/atom



#a
{"formula": "VFeNiPt", "functional": "PBE", "state": "optimized geometry", "lattice_angstrom": [[0.0000, 2.9607, 2.9607], [2.9607, 0.0000, 2.9607], [2.9607, 2.9607, 0.0000]], "species": ["V", "Fe", "Ni", "Pt"], "fractional_positions": [[0.0000, 0.0000, 0.0000], [0.7500, 0.7500, 0.7500], [0.2500, 0.2500, 0.2500], [0.5000, 0.5000, 0.5000]], "dos_at_fermi_per_ev_cell": 3.4}



#b
{"formula": "VFeNiPt", "functional": "PBE", "state": "optimized geometry", "lattice_angstrom": [[-1.8655, 1.8655, 3.6928], [1.8655, -1.8655, 3.6928], [1.8655, 1.8655, -3.6928]], "species": ["V", "Fe", "Ni", "Pt"], "fractional_positions": [[0.0000, 0.0000, 0.0000], [0.2500, 0.7500, 0.5000], [0.5000, 0.5000, 0.0000], [0.7500, 0.2500, 0.5000]], "dos_at_fermi_per_ev_cell": 4.3}



Stability verdict: #b, ahead by 108 meV/atom